Record 1
The following is a DFT calculation (GGA-PBE) of an optimized crystal structure of TiSOF2.

```
TiSOF2
1.0
4.6889 0.0000 0.0000
0.0000 4.6889 0.0000
0.0000 0.0000 3.4046
Ti S O F
1 1 1 2
direct
0.0000 0.0000 0.0000 Ti
0.5000 0.5000 0.5000 S
0.5000 0.5000 0.0000 O
0.0000 0.5000 0.5000 F
0.5000 0.0000 0.5000 F
```

## Properties
Spin magnetization in μB/f.u.: 2.3
Crystal system: tetragonal
Energy relative to the elements, uncorrected in kJ/mol of formula units: -230
Electronic total energy in eV for the cell shown: -23.1
Volume in A^3/atom: 14.970



Record 2
The following is a DFT calculation (GGA-PBE) of an optimized crystal structure of TiSOF2.

```
TiSOF2
1.0
4.1277 0.0000 0.0000
0.0000 4.1277 0.0000
0.0000 0.0000 3.8050
Ti S O F
1 1 1 2
direct
0.0000 0.0000 0.0000 Ti
0.5000 0.5000 0.5000 S
0.0000 0.0000 0.5000 O
0.0000 0.5000 0.0000 F
0.5000 0.0000 0.0000 F
```

## Properties
Spin magnetization in μB/f.u.: 2.0
Crystal system: tetragonal
Energy relative to the elements, uncorrected in kJ/mol of formula units: -837
Electronic total energy in eV for the cell shown: -29.4
Volume in A^3/atom: 12.966